Entry 1:
La2MgZnIr | PBE | relaxed

```
La2MgZnIr
1.0
5.531 0.000 0.000
0.000 5.531 0.000
0.000 0.000 4.991
La Mg Zn Ir
2 1 1 1
Direct
0.000 0.500 0.000 La
0.500 0.000 0.000 La
0.000 0.000 0.500 Mg
0.500 0.500 0.500 Zn
0.500 0.500 0.000 Ir
```

Formation energy: -0.302 eV per atom
Distance to the lowest polymorph of the same formula: 0 meV per atom
Symmetry: P4/mmm (123)



Entry 2:
NdPuZn | PBE | relaxed

```
NdPuZn
1.0
3.323 0.000 0.000
0.000 24.380 0.000
0.000 0.000 3.404
Nd Pu Zn
4 4 4
Direct
0.000 0.122 0.250 Nd
0.000 0.878 0.750 Nd
0.500 0.378 0.750 Nd
0.500 0.622 0.250 Nd
0.000 0.264 0.750 Pu
0.000 0.736 0.250 Pu
0.500 0.236 0.250 Pu
0.500 0.764 0.750 Pu
0.000 0.462 0.250 Zn
0.000 0.538 0.750 Zn
0.500 0.038 0.750 Zn
0.500 0.962 0.250 Zn
```

Formation energy: 0.200 eV per atom
Distance to the lowest polymorph of the same formula: 232 meV per atom
Symmetry: Cmcm (63)



Entry 3:
AlAsCl | PBE | relaxed

```
AlAsCl
1.0
4.122 0.000 0.000
2.056 5.160 0.000
0.048 2.612 9.866
Al As Cl
2 2 2
Direct
0.247 0.022 0.142 Al
0.753 0.978 0.858 Al
0.367 0.745 0.969 As
0.633 0.255 0.031 As
0.330 0.848 0.351 Cl
0.670 0.152 0.649 Cl
```

Total DFT energy (no corrections): -24.90 eV for the cell shown
Symmetry: P-1 (2)



Entry 4:
ScMnNi2 | PBE | relaxed

```
ScMnNi2
1.0
3.800 0.000 0.000
0.000 3.800 0.000
0.000 0.000 16.813
Sc Mn Ni
4 4 8
Direct
0.000 0.000 0.000 Sc
0.000 0.500 0.250 Sc
0.500 0.000 0.750 Sc
0.500 0.500 0.500 Sc
0.000 0.000 0.500 Mn
0.000 0.500 0.750 Mn
0.500 0.000 0.250 Mn
0.500 0.500 0.000 Mn
0.212 0.250 0.625 Ni
0.250 0.712 0.875 Ni
0.250 0.788 0.375 Ni
0.288 0.250 0.125 Ni
0.712 0.750 0.125 Ni
0.750 0.212 0.375 Ni
0.750 0.288 0.875 Ni
0.788 0.750 0.625 Ni
```

Formation energy: 0.246 eV per atom
Symmetry: I-42d (122)



Entry 5:
Ac2TbGe4Pt3 | PBE | relaxed

```
Ac2TbGe4Pt3
1.0
4.440 0.000 0.000
0.000 4.440 0.000
0.000 0.000 11.330
Ac Tb Ge Pt
2 1 4 3
Direct
0.000 0.500 0.232 Ac
0.500 0.000 0.768 Ac
0.000 0.000 0.500 Tb
0.000 0.000 0.000 Ge
0.000 0.500 0.660 Ge
0.500 0.000 0.340 Ge
0.500 0.500 0.000 Ge
0.000 0.500 0.885 Pt
0.500 0.000 0.115 Pt
0.500 0.500 0.500 Pt
```

Formation energy: -0.928 eV per atom
Symmetry: P-4m2 (115)



Entry 6:
TlCd2O2 | PBE | relaxed

```
TlCd2O2
1.0
4.287 0.000 0.000
0.000 4.287 0.000
0.000 0.000 9.835
Tl Cd O
2 4 4
Direct
0.000 0.000 0.000 Tl
0.500 0.500 0.500 Tl
0.000 0.000 0.336 Cd
0.000 0.000 0.664 Cd
0.500 0.500 0.164 Cd
0.500 0.500 0.836 Cd
0.000 0.500 0.250 O
0.000 0.500 0.750 O
0.500 0.000 0.250 O
0.500 0.000 0.750 O
```

Distance to the lowest polymorph of the same formula: 69 meV per atom
Symmetry: I4/mmm (139)



Entry 7:
RbAlAsSe2 | PBE | relaxed

```
RbAlAsSe2
1.0
5.208 0.000 0.000
0.000 5.208 0.000
0.000 0.000 4.904
Rb Al As Se
1 1 1 2
Direct
0.000 0.000 0.000 Rb
0.500 0.500 0.500 Al
0.500 0.500 0.000 As
0.000 0.500 0.500 Se
0.500 0.000 0.500 Se
```

Distance to the lowest polymorph of the same formula: 0 meV per atom
Symmetry: P4/mmm (123)



Entry 8:
TmPu4P5 | PBE | relaxed

```
TmPu4P5
1.0
-4.457 4.457 2.819
4.457 -4.457 2.819
4.457 4.457 -2.819
Tm Pu P
1 4 5
Direct
0.000 0.000 0.000 Tm
0.201 0.600 0.801 Pu
0.400 0.201 0.600 Pu
0.600 0.799 0.400 Pu
0.799 0.400 0.199 Pu
0.100 0.301 0.401 P
0.301 0.900 0.201 P
0.500 0.500 0.000 P
0.699 0.100 0.799 P
0.900 0.699 0.599 P
```

Formation energy: -1.241 eV per atom
Symmetry: I4/m (87)



Entry 9:
Tl2Re2Tc | PBE | relaxed

```
Tl2Re2Tc
1.0
3.525 0.000 0.000
0.000 3.525 0.000
0.000 0.000 16.647
Tl Re Tc
4 4 2
Direct
0.000 0.000 0.100 Tl
0.000 0.000 0.900 Tl
0.500 0.500 0.400 Tl
0.500 0.500 0.600 Tl
0.000 0.500 0.250 Re
0.000 0.500 0.750 Re
0.500 0.000 0.250 Re
0.500 0.000 0.750 Re
0.000 0.000 0.500 Tc
0.500 0.500 0.000 Tc
```

Formation energy: 1.247 eV per atom
Symmetry: I4/mmm (139)



Entry 10:
ZrPa2Cu6 | PBE | relaxed

```
ZrPa2Cu6
1.0
7.566 0.000 0.000
-3.783 6.553 0.000
0.000 0.000 3.045
Zr Pa Cu
1 2 6
Direct
0.000 0.000 0.000 Zr
0.333 0.667 0.000 Pa
0.667 0.333 0.000 Pa
0.000 0.330 0.500 Cu
0.000 0.670 0.500 Cu
0.330 0.000 0.500 Cu
0.330 0.330 0.500 Cu
0.670 0.000 0.500 Cu
0.670 0.670 0.500 Cu
```

Formation energy: -0.087 eV per atom
Symmetry: P6/mmm (191)



Entry 11:
RbMo2N | PBE | relaxed

```
RbMo2N
1.0
0.000 4.523 4.523
4.523 0.000 4.523
4.523 4.523 0.000
Rb Mo N
2 4 2
Direct
0.125 0.125 0.125 Rb
0.875 0.875 0.875 Rb
0.000 0.500 0.500 Mo
0.500 0.000 0.500 Mo
0.500 0.500 0.000 Mo
0.500 0.500 0.500 Mo
0.375 0.375 0.375 N
0.625 0.625 0.625 N
```

Total DFT energy (no corrections): -55.06 eV for the cell shown
Symmetry: Fd-3m (227)



Entry 12:
LiZrMn2 | PBE | relaxed

```
LiZrMn2
1.0
2.576 0.000 0.000
0.000 4.269 0.000
-0.970 0.000 5.132
Li Zr Mn
1 1 2
Direct
0.000 0.000 0.000 Li
0.500 0.000 0.500 Zr
0.292 0.500 0.797 Mn
0.708 0.500 0.203 Mn
```

Formation energy: 0.452 eV per atom
Symmetry: P2/m (10)



Entry 13:
MgBeFe3 | PBE | relaxed

```
MgBeFe3
1.0
4.372 0.000 0.000
0.000 4.372 0.000
0.000 0.000 4.372
Mg Be Fe
1 1 3
Direct
0.000 0.000 0.000 Mg
0.500 0.500 0.500 Be
0.000 0.000 0.500 Fe
0.000 0.500 0.000 Fe
0.500 0.000 0.000 Fe
```

Formation energy: 1.770 eV per atom
Distance to the lowest polymorph of the same formula: 1350 meV per atom
Symmetry: Pm-3m (221)



Entry 14:
BeSbW4 | PBE | relaxed

```
BeSbW4
1.0
0.000 3.757 3.757
3.757 0.000 3.757
3.757 3.757 0.000
Be Sb W
1 1 4
Direct
0.000 0.000 0.000 Be
0.750 0.750 0.750 Sb
0.374 0.374 0.374 W
0.374 0.374 0.879 W
0.374 0.879 0.374 W
0.879 0.374 0.374 W
```

Total DFT energy (no corrections): -54.54 eV for the cell shown
Symmetry: F-43m (216)



Entry 15:
VGaRu2 | PBE | relaxed

```
VGaRu2
1.0
4.894 0.000 0.000
0.000 2.832 0.000
-1.607 0.000 8.159
V Ga Ru
2 2 4
Direct
0.000 0.000 0.000 V
0.500 0.500 0.000 V
0.331 0.500 0.500 Ga
0.831 0.000 0.500 Ga
0.082 0.500 0.757 Ru
0.413 0.000 0.244 Ru
0.582 0.000 0.757 Ru
0.913 0.500 0.244 Ru
```

Formation energy: -0.196 eV per atom
Symmetry: Cm (8)



Entry 16:
PmGa5Ru2 | PBE | relaxed

```
PmGa5Ru2
1.0
3.976 0.000 0.000
0.000 7.073 0.000
0.000 0.000 10.380
Pm Ga Ru
2 10 4
Direct
0.000 0.000 0.000 Pm
0.500 0.500 0.500 Pm
0.000 0.198 0.354 Ga
0.000 0.198 0.646 Ga
0.000 0.500 0.000 Ga
0.000 0.802 0.354 Ga
0.000 0.802 0.646 Ga
0.500 0.000 0.500 Ga
0.500 0.302 0.146 Ga
0.500 0.302 0.854 Ga
0.500 0.698 0.146 Ga
0.500 0.698 0.854 Ga
0.000 0.500 0.233 Ru
0.000 0.500 0.767 Ru
0.500 0.000 0.267 Ru
0.500 0.000 0.733 Ru
```

Formation energy: -0.403 eV per atom
Symmetry: Immm (71)



Entry 17:
Pm2Nd3Ho8 | PBE | relaxed

```
Pm2Nd3Ho8
1.0
10.217 -3.847 0.000
10.217 3.847 0.000
-0.003 0.000 5.625
Pm Nd Ho
2 3 8
Direct
0.241 0.241 0.499 Pm
0.759 0.759 0.501 Pm
0.000 0.000 0.500 Nd
0.293 0.707 0.000 Nd
0.707 0.293 0.000 Nd
0.133 0.133 0.000 Ho
0.182 0.602 0.500 Ho
0.333 0.333 0.999 Ho
0.398 0.818 0.500 Ho
0.602 0.182 0.500 Ho
0.667 0.667 0.001 Ho
0.818 0.398 0.500 Ho
0.867 0.867 0.000 Ho
```

Formation energy: 0.251 eV per atom
Distance to the lowest polymorph of the same formula: 232 meV per atom
Symmetry: C2/m (12)



Entry 18:
Tb2ScHg3 | PBE | relaxed

```
Tb2ScHg3
1.0
5.180 0.000 0.000
-2.590 4.486 0.000
0.000 0.000 12.759
Tb Sc Hg
4 2 6
Direct
0.000 0.000 0.000 Tb
0.000 0.000 0.500 Tb
0.333 0.667 0.173 Tb
0.667 0.333 0.827 Tb
0.333 0.667 0.667 Sc
0.667 0.333 0.333 Sc
0.000 0.000 0.255 Hg
0.000 0.000 0.745 Hg
0.333 0.667 0.420 Hg
0.333 0.667 0.912 Hg
0.667 0.333 0.088 Hg
0.667 0.333 0.580 Hg
```

Formation energy: -0.452 eV per atom
Distance to the lowest polymorph of the same formula: 4 meV per atom
Symmetry: P-3m1 (164)



Entry 19:
ErMgScPb | PBE | relaxed

```
ErMgScPb
1.0
7.375 0.000 0.000
0.000 7.375 0.000
0.000 0.000 7.375
Er Mg Sc Pb
4 4 4 4
Direct
0.000 0.000 0.000 Er
0.000 0.500 0.500 Er
0.500 0.000 0.500 Er
0.500 0.500 0.000 Er
0.250 0.250 0.750 Mg
0.250 0.750 0.250 Mg
0.750 0.250 0.250 Mg
0.750 0.750 0.750 Mg
0.000 0.000 0.500 Sc
0.000 0.500 0.000 Sc
0.500 0.000 0.000 Sc
0.500 0.500 0.500 Sc
0.250 0.250 0.250 Pb
0.250 0.750 0.750 Pb
0.750 0.250 0.750 Pb
0.750 0.750 0.250 Pb
```

Formation energy: -0.217 eV per atom
Symmetry: F-43m (216)



Entry 20:
Rb4AgHg4 | PBE | relaxed

```
Rb4AgHg4
1.0
5.260 -5.283 0.000
5.260 5.283 0.000
-5.217 0.000 7.492
Rb Ag Hg
4 1 4
Direct
0.000 0.000 0.000 Rb
0.282 0.731 0.567 Rb
0.449 0.449 0.001 Rb
0.731 0.282 0.567 Rb
0.865 0.865 0.284 Ag
0.202 0.202 0.496 Hg
0.529 0.990 0.072 Hg
0.740 0.740 0.496 Hg
0.990 0.529 0.072 Hg
```

Formation energy: -0.142 eV per atom
Symmetry: Cm (8)



Entry 21:
Pm3Dy2Tm5 | PBE | relaxed

```
Pm3Dy2Tm5
1.0
-6.410 8.404 3.131
6.410 -8.404 3.131
6.410 8.404 -3.131
Pm Dy Tm
6 4 10
Direct
0.246 0.158 0.403 Pm
0.250 0.250 0.000 Pm
0.254 0.658 0.912 Pm
0.746 0.342 0.088 Pm
0.750 0.750 0.000 Pm
0.754 0.842 0.597 Pm
0.156 0.896 0.052 Dy
0.344 0.396 0.740 Dy
0.656 0.604 0.260 Dy
0.844 0.104 0.948 Dy
0.155 0.402 0.558 Tm
0.250 0.504 0.254 Tm
0.250 0.750 0.500 Tm
0.250 0.996 0.746 Tm
0.345 0.902 0.247 Tm
0.655 0.098 0.753 Tm
0.750 0.004 0.254 Tm
0.750 0.250 0.500 Tm
0.750 0.496 0.746 Tm
0.845 0.598 0.442 Tm
```

Formation energy: 0.342 eV per atom
Distance to the lowest polymorph of the same formula: 148 meV per atom
Symmetry: Ibam (72)



Entry 22:
LiGdThFe | PBE | relaxed

```
LiGdThFe
1.0
7.006 0.000 0.000
0.000 7.006 0.000
0.000 0.000 7.006
Li Gd Th Fe
4 4 4 4
Direct
0.000 0.000 0.000 Li
0.000 0.500 0.500 Li
0.500 0.000 0.500 Li
0.500 0.500 0.000 Li
0.250 0.250 0.250 Gd
0.250 0.750 0.750 Gd
0.750 0.250 0.750 Gd
0.750 0.750 0.250 Gd
0.250 0.250 0.750 Th
0.250 0.750 0.250 Th
0.750 0.250 0.250 Th
0.750 0.750 0.750 Th
0.000 0.000 0.500 Fe
0.000 0.500 0.000 Fe
0.500 0.000 0.000 Fe
0.500 0.500 0.500 Fe
```

Formation energy: 0.113 eV per atom
Symmetry: F-43m (216)



| no. | size of the total moment (μB/cell) | calculated density (g/cm3) |
| --- | --- | --- |
| 1 | 0.00 | 6.1 |
| 2 | 0.00 | 10.9 |
| 3 | 0.00 | 2.2 |
| 4 | 13.72 | 5.9 |
| 5 | 0.00 | 11.1 |
| 6 | 0.00 | 8.5 |
| 7 | 0.03 | 4.3 |
| 8 | 19.84 | 9.6 |
| 9 | 4.69 | 14.1 |
| 10 | 0.81 | 10.3 |
| 11 | 0.00 | 5.2 |
| 12 | 0.03 | 6.1 |
| 13 | 7.58 | 4.0 |
| 14 | 0.00 | 13.6 |
| 15 | 0.00 | 9.5 |
| 16 | 0.00 | 7.9 |
| 17 | 0.00 | 7.7 |
| 18 | 1.32 | 10.8 |
| 19 | 0.00 | 7.3 |
| 20 | 0.00 | 5.0 |
| 21 | 0.00 | 7.9 |
| 22 | 26.59 | 8.7 |